The following is a GGA+U calculation of crystalline CsPaVO5 at its relaxed geometry, from Alexandria.

Summary:
Electronic total energy, Ry/atom: -0.585
Spin magnetization, μB per formula unit: 1.0

Geometry as extended XYZ:
```
16
Lattice="6.526 0.099 -0.148 -1.810 6.270 -0.148 -2.142 -2.893 7.354" Properties=species:S:1:pos:R:3 pbc="T T T"
O 3.724 -0.270 2.688
O -1.864 5.190 1.690
O -2.416 2.036 6.365
O 1.843 1.025 0.831
O 4.990 1.440 0.692
O 4.437 -1.714 5.367
O 0.731 2.451 6.226
O -0.629 0.615 4.508
O -1.150 3.746 4.369
O 3.202 2.861 2.550
V -0.866 2.212 5.367
V 3.439 1.264 1.690
Pa -1.071 -1.447 3.677
Pa 0.000 0.000 0.000
Cs 2.127 -0.004 5.367
Cs 0.446 3.480 1.690
```